Record 1
A plane-wave DFT calculation with SCAN was carried out for Cs2KRb at its PBEsol-relaxed geometry.

The energy is -104.7 eV/cell. The value obtained for the density of states at the Fermi level is 3.647 states/eV per cell. The space group is Fm-3m, No. 225. The value obtained for the distance to the lowest polymorph of the same formula is 0 meV/atom. The value obtained for the total magnetic moment is 0.011 μB per atom. For the energy relative to the elements, the calculation gives 0.016 eV/f.u. As for the crystal system: cubic.

```
data_Cs2KRb
_cell_length_a 8.022
_cell_length_b 8.022
_cell_length_c 8.022
_cell_angle_alpha 60.00
_cell_angle_beta 60.00
_cell_angle_gamma 60.00
_space_group_name_H-M_alt 'P 1'
_space_group_IT_number 1
loop_
_space_group_symop_operation_xyz
'x,y,z'
loop_
_atom_site_label
_atom_site_fract_x
_atom_site_fract_y
_atom_site_fract_z
Cs1 0.250 0.250 0.250
Cs2 0.750 0.750 0.750
K1 0.000 0.000 0.000
Rb1 0.500 0.500 0.500
```

Record 2
A plane-wave DFT calculation with SCAN was carried out for NiHgBi2Ir at its PBEsol-relaxed geometry.

The energy is -303.6 eV/cell. The value obtained for the density of states at the Fermi level is 4.481 states/eV per cell. The space group is P4/mmm, No. 123. The value obtained for the total magnetic moment is 0.238 μB per atom. For the energy relative to the elements, the calculation gives 8.955 eV/f.u. As for the crystal system: tetragonal.

```
data_NiHgBi2Ir
_cell_length_a 5.420
_cell_length_b 5.420
_cell_length_c 4.964
_cell_angle_alpha 90.00
_cell_angle_beta 90.00
_cell_angle_gamma 90.00
_space_group_name_H-M_alt 'P 1'
_space_group_IT_number 1
loop_
_space_group_symop_operation_xyz
'x,y,z'
loop_
_atom_site_label
_atom_site_fract_x
_atom_site_fract_y
_atom_site_fract_z
Ni1 0.000 0.000 0.000
Hg1 0.500 0.500 0.500
Bi1 0.000 0.500 0.500
Bi2 0.500 0.000 0.500
Ir1 0.500 0.500 0.000
```

Record 3
A plane-wave DFT calculation with SCAN was carried out for SrCa2Zn at its PBEsol-relaxed geometry.

The energy is -55.6 eV/cell. The value obtained for the density of states at the Fermi level is 3.629 states/eV per cell. The space group is P4mm, No. 99. The value obtained for the total magnetic moment is 0.006 μB per atom. For the energy relative to the elements, the calculation gives -0.468 eV/f.u. As for the crystal system: tetragonal.

```
data_SrCa2Zn
_cell_length_a 3.799
_cell_length_b 3.799
_cell_length_c 9.433
_cell_angle_alpha 90.00
_cell_angle_beta 90.00
_cell_angle_gamma 90.00
_space_group_name_H-M_alt 'P 1'
_space_group_IT_number 1
loop_
_space_group_symop_operation_xyz
'x,y,z'
loop_
_atom_site_label
_atom_site_fract_x
_atom_site_fract_y
_atom_site_fract_z
Sr1 0.000 0.000 0.000
Ca1 0.000 0.000 0.378
Ca2 0.500 0.500 0.673
Zn1 0.500 0.500 0.207
```

Record 4
A plane-wave DFT calculation with SCAN was carried out for SiIrPt at its PBEsol-relaxed geometry.

The value obtained for the uncorrected formation energy is -0.42 eV per atom. The energy is -152.6 eV/cell. The value obtained for the density of states at the Fermi level is 1.688 states/eV per cell. The space group is P3m1, No. 156. The value obtained for the distance to the lowest polymorph of the same formula is 422 meV/atom. The value obtained for the total magnetic moment is 0.000 μB per atom. As for the crystal system: trigonal.

```
data_SiIrPt
_cell_length_a 2.844
_cell_length_b 2.844
_cell_length_c 5.997
_cell_angle_alpha 90.00
_cell_angle_beta 90.00
_cell_angle_gamma 120.00
_space_group_name_H-M_alt 'P 1'
_space_group_IT_number 1
loop_
_space_group_symop_operation_xyz
'x,y,z'
loop_
_atom_site_label
_atom_site_fract_x
_atom_site_fract_y
_atom_site_fract_z
Si1 0.000 0.000 0.000
Ir1 0.333 0.667 0.705
Pt1 0.667 0.333 0.306
```

Record 5
A plane-wave DFT calculation with SCAN was carried out for Pr6Mg23C at its PBEsol-relaxed geometry.

The energy is -388.4 eV/cell. The value obtained for the density of states at the Fermi level is 15.924 states/eV per cell. The space group is Fm-3m, No. 225. The value obtained for the total magnetic moment is 0.007 μB per atom. For the energy relative to the elements, the calculation gives -3.973 eV/f.u. As for the crystal system: cubic.

```
data_Pr6Mg23C
_cell_length_a 10.123
_cell_length_b 10.123
_cell_length_c 10.123
_cell_angle_alpha 60.00
_cell_angle_beta 60.00
_cell_angle_gamma 60.00
_space_group_name_H-M_alt 'P 1'
_space_group_IT_number 1
loop_
_space_group_symop_operation_xyz
'x,y,z'
loop_
_atom_site_label
_atom_site_fract_x
_atom_site_fract_y
_atom_site_fract_z
Pr1 0.183 0.183 0.817
Pr2 0.183 0.817 0.183
Pr3 0.183 0.817 0.817
Pr4 0.817 0.183 0.183
Pr5 0.817 0.183 0.817
Pr6 0.817 0.817 0.183
Mg1 0.000 0.000 0.500
Mg2 0.000 0.500 0.000
Mg3 0.000 0.500 0.500
Mg4 0.139 0.620 0.620
Mg5 0.171 0.171 0.171
Mg6 0.171 0.171 0.488
Mg7 0.171 0.488 0.171
Mg8 0.380 0.380 0.380
Mg9 0.380 0.380 0.861
Mg10 0.380 0.861 0.380
Mg11 0.488 0.171 0.171
Mg12 0.500 0.000 0.000
Mg13 0.500 0.000 0.500
Mg14 0.500 0.500 0.000
Mg15 0.500 0.500 0.500
Mg16 0.512 0.829 0.829
Mg17 0.620 0.139 0.620
Mg18 0.620 0.620 0.139
Mg19 0.620 0.620 0.620
Mg20 0.829 0.512 0.829
Mg21 0.829 0.829 0.512
Mg22 0.829 0.829 0.829
Mg23 0.861 0.380 0.380
C1 0.000 0.000 0.000
```

Record 6
A plane-wave DFT calculation with SCAN was carried out for SrV2N4 at its PBEsol-relaxed geometry.

The value obtained for the uncorrected formation energy is -1.14 eV per atom. The energy is -1228.8 eV/cell. The value obtained for the density of states at the Fermi level is 0.000 states/eV per cell. The space group is Pa-3, No. 205. The value obtained for the total magnetic moment is 0.000 μB per atom. As for the crystal system: cubic.

```
data_SrV2N4
_cell_length_a 10.334
_cell_length_b 10.334
_cell_length_c 10.334
_cell_angle_alpha 90.00
_cell_angle_beta 90.00
_cell_angle_gamma 90.00
_space_group_name_H-M_alt 'P 1'
_space_group_IT_number 1
loop_
_space_group_symop_operation_xyz
'x,y,z'
loop_
_atom_site_label
_atom_site_fract_x
_atom_site_fract_y
_atom_site_fract_z
Sr1 0.000 0.000 0.000
Sr2 0.000 0.500 0.500
Sr3 0.122 0.622 0.878
Sr4 0.122 0.878 0.378
Sr5 0.378 0.122 0.878
Sr6 0.378 0.378 0.378
Sr7 0.500 0.000 0.500
Sr8 0.500 0.500 0.000
Sr9 0.622 0.622 0.622
Sr10 0.622 0.878 0.122
Sr11 0.878 0.122 0.622
Sr12 0.878 0.378 0.122
V1 0.111 0.206 0.353
V2 0.111 0.294 0.853
V3 0.147 0.611 0.206
V4 0.147 0.889 0.706
V5 0.206 0.147 0.611
V6 0.206 0.353 0.111
V7 0.294 0.647 0.611
V8 0.294 0.853 0.111
V9 0.353 0.111 0.206
V10 0.353 0.389 0.706
V11 0.389 0.706 0.353
V12 0.389 0.794 0.853
V13 0.611 0.206 0.147
V14 0.611 0.294 0.647
V15 0.647 0.611 0.294
V16 0.647 0.889 0.794
V17 0.706 0.147 0.889
V18 0.706 0.353 0.389
V19 0.794 0.647 0.889
V20 0.794 0.853 0.389
V21 0.853 0.111 0.294
V22 0.853 0.389 0.794
V23 0.889 0.706 0.147
V24 0.889 0.794 0.647
N1 0.021 0.079 0.270
N2 0.021 0.421 0.770
N3 0.079 0.230 0.521
N4 0.079 0.270 0.021
N5 0.139 0.728 0.642
N6 0.139 0.772 0.142
N7 0.142 0.139 0.772
N8 0.142 0.361 0.272
N9 0.228 0.642 0.361
N10 0.228 0.858 0.861
N11 0.230 0.521 0.079
N12 0.230 0.979 0.579
N13 0.270 0.021 0.079
N14 0.270 0.479 0.579
N15 0.272 0.142 0.361
N16 0.272 0.358 0.861
N17 0.358 0.639 0.772
N18 0.358 0.861 0.272
N19 0.361 0.228 0.642
N20 0.361 0.272 0.142
N21 0.421 0.730 0.521
N22 0.421 0.770 0.021
N23 0.479 0.579 0.270
N24 0.479 0.921 0.770
N25 0.521 0.079 0.230
N26 0.521 0.421 0.730
N27 0.579 0.230 0.979
N28 0.579 0.270 0.479
N29 0.639 0.728 0.858
N30 0.639 0.772 0.358
N31 0.642 0.139 0.728
N32 0.642 0.361 0.228
N33 0.728 0.642 0.139
N34 0.728 0.858 0.639
N35 0.730 0.521 0.421
N36 0.730 0.979 0.921
N37 0.770 0.021 0.421
N38 0.770 0.479 0.921
N39 0.772 0.142 0.139
N40 0.772 0.358 0.639
N41 0.858 0.639 0.728
N42 0.858 0.861 0.228
N43 0.861 0.228 0.858
N44 0.861 0.272 0.358
N45 0.921 0.730 0.979
N46 0.921 0.770 0.479
N47 0.979 0.579 0.230
N48 0.979 0.921 0.730
```

Record 7
A plane-wave DFT calculation with SCAN was carried out for ZnSb2Pt at its PBEsol-relaxed geometry.

The value obtained for the uncorrected formation energy is 0.16 eV per atom. The energy is -157.6 eV/cell. The value obtained for the density of states at the Fermi level is 1.673 states/eV per cell. The space group is P4/mmm, No. 123. The value obtained for the total magnetic moment is 0.000 μB per atom. As for the crystal system: tetragonal.

```
data_ZnSb2Pt
_cell_length_a 4.550
_cell_length_b 4.550
_cell_length_c 3.811
_cell_angle_alpha 90.00
_cell_angle_beta 90.00
_cell_angle_gamma 90.00
_space_group_name_H-M_alt 'P 1'
_space_group_IT_number 1
loop_
_space_group_symop_operation_xyz
'x,y,z'
loop_
_atom_site_label
_atom_site_fract_x
_atom_site_fract_y
_atom_site_fract_z
Zn1 0.000 0.000 0.000
Sb1 0.000 0.500 0.500
Sb2 0.500 0.000 0.500
Pt1 0.500 0.500 0.000
```

Record 8
A plane-wave DFT calculation with SCAN was carried out for LaZnSi at its PBEsol-relaxed geometry.

The value obtained for the uncorrected formation energy is 0.12 eV per atom. The energy is -66.3 eV/cell. The value obtained for the density of states at the Fermi level is 2.426 states/eV per cell. The space group is F-43m, No. 216. The value obtained for the total magnetic moment is 0.000 μB per atom. As for the crystal system: cubic.

```
data_LaZnSi
_cell_length_a 4.835
_cell_length_b 4.835
_cell_length_c 4.835
_cell_angle_alpha 60.00
_cell_angle_beta 60.00
_cell_angle_gamma 60.00
_space_group_name_H-M_alt 'P 1'
_space_group_IT_number 1
loop_
_space_group_symop_operation_xyz
'x,y,z'
loop_
_atom_site_label
_atom_site_fract_x
_atom_site_fract_y
_atom_site_fract_z
La1 0.000 0.000 0.000
Zn1 0.750 0.750 0.750
Si1 0.250 0.250 0.250
```

Record 9
A plane-wave DFT calculation with SCAN was carried out for RbSn2Pt2 at its PBEsol-relaxed geometry.

The energy is -235.2 eV/cell. The value obtained for the density of states at the Fermi level is 2.351 states/eV per cell. The space group is I4/mmm, No. 139. The value obtained for the total magnetic moment is 0.000 μB per atom. For the energy relative to the elements, the calculation gives -2.247 eV/f.u. As for the crystal system: tetragonal.

```
data_RbSn2Pt2
_cell_length_a 6.648
_cell_length_b 6.648
_cell_length_c 6.648
_cell_angle_alpha 138.79
_cell_angle_beta 138.79
_cell_angle_gamma 59.70
_space_group_name_H-M_alt 'P 1'
_space_group_IT_number 1
loop_
_space_group_symop_operation_xyz
'x,y,z'
loop_
_atom_site_label
_atom_site_fract_x
_atom_site_fract_y
_atom_site_fract_z
Rb1 0.000 0.000 0.000
Sn1 0.357 0.357 0.000
Sn2 0.643 0.643 0.000
Pt1 0.250 0.750 0.500
Pt2 0.750 0.250 0.500
```

Record 10
A plane-wave DFT calculation with SCAN was carried out for IrRuRh2 at its PBEsol-relaxed geometry.

The energy is -173.4 eV/cell. The value obtained for the density of states at the Fermi level is 3.981 states/eV per cell. The space group is Pmmm, No. 47. The value obtained for the distance to the lowest polymorph of the same formula is 37 meV/atom. The value obtained for the total magnetic moment is 0.000 μB per atom. For the energy relative to the elements, the calculation gives 0.043 eV/f.u. As for the crystal system: orthorhombic.

```
data_IrRuRh2
_cell_length_a 2.670
_cell_length_b 3.798
_cell_length_c 5.347
_cell_angle_alpha 90.00
_cell_angle_beta 90.00
_cell_angle_gamma 90.00
_space_group_name_H-M_alt 'P 1'
_space_group_IT_number 1
loop_
_space_group_symop_operation_xyz
'x,y,z'
loop_
_atom_site_label
_atom_site_fract_x
_atom_site_fract_y
_atom_site_fract_z
Ir1 0.000 0.000 0.000
Ru1 0.000 0.000 0.500
Rh1 0.500 0.500 0.253
Rh2 0.500 0.500 0.747
```

Record 11
A plane-wave DFT calculation with SCAN was carried out for KGaN2F at its PBEsol-relaxed geometry.

The value obtained for the uncorrected formation energy is -0.23 eV per atom. The energy is -47.9 eV/cell. The value obtained for the density of states at the Fermi level is 1.156 states/eV per cell. The space group is P4/mmm, No. 123. The value obtained for the total magnetic moment is 0.600 μB per atom. As for the crystal system: tetragonal.

```
data_KGaN2F
_cell_length_a 3.904
_cell_length_b 3.904
_cell_length_c 4.446
_cell_angle_alpha 90.00
_cell_angle_beta 90.00
_cell_angle_gamma 90.00
_space_group_name_H-M_alt 'P 1'
_space_group_IT_number 1
loop_
_space_group_symop_operation_xyz
'x,y,z'
loop_
_atom_site_label
_atom_site_fract_x
_atom_site_fract_y
_atom_site_fract_z
K1 0.000 0.000 0.000
Ga1 0.500 0.500 0.500
N1 0.000 0.500 0.500
N2 0.500 0.000 0.500
F1 0.500 0.500 0.000
```

Record 12
A plane-wave DFT calculation with SCAN was carried out for Sr2Cu at its PBEsol-relaxed geometry.

The energy is -238.5 eV/cell. The value obtained for the density of states at the Fermi level is 8.345 states/eV per cell. The space group is Pa-3, No. 205. The value obtained for the total magnetic moment is 0.000 μB per atom. For the energy relative to the elements, the calculation gives 0.123 eV/f.u. As for the crystal system: cubic.

```
data_Sr2Cu
_cell_length_a 7.540
_cell_length_b 7.540
_cell_length_c 7.540
_cell_angle_alpha 90.00
_cell_angle_beta 90.00
_cell_angle_gamma 90.00
_space_group_name_H-M_alt 'P 1'
_space_group_IT_number 1
loop_
_space_group_symop_operation_xyz
'x,y,z'
loop_
_atom_site_label
_atom_site_fract_x
_atom_site_fract_y
_atom_site_fract_z
Sr1 0.161 0.161 0.161
Sr2 0.161 0.339 0.661
Sr3 0.339 0.661 0.161
Sr4 0.339 0.839 0.661
Sr5 0.661 0.161 0.339
Sr6 0.661 0.339 0.839
Sr7 0.839 0.661 0.339
Sr8 0.839 0.839 0.839
Cu1 0.000 0.000 0.500
Cu2 0.000 0.500 0.000
Cu3 0.500 0.000 0.000
Cu4 0.500 0.500 0.500
```